1.
## Nd3Y5Se8 (PBE)

Data for Nd3Y5Se8 after structural relaxation.

Cell and atoms, written as POSCAR:
```
Nd3Y5Se8
1.0
4.129 2.384 6.812
-4.129 2.384 6.812
0.000 -4.768 6.812
Nd Y Se
3 5 8
direct
0.000 0.500 0.500
0.500 0.000 0.500
0.500 0.500 0.000
0.000 0.000 0.000
0.000 0.000 0.500
0.000 0.500 0.000
0.500 0.000 0.000
0.500 0.500 0.500
0.241 0.750 0.750
0.245 0.245 0.245
0.250 0.250 0.759
0.250 0.759 0.250
0.750 0.241 0.750
0.750 0.750 0.241
0.755 0.755 0.755
0.759 0.250 0.250
```

Output
Total magnetization, μB/atom: 0.00
Fermi-level density of states, states/eV/cell: 10.537
ΔE_f (raw), eV/atom: -1.79
Calculated volume, Å³/atom: 25.14
SG: R-3m (166)


2.
## Nd5YSe6 (PBE)

Data for Nd5YSe6 after structural relaxation.

Cell and atoms, written as POSCAR:
```
Nd5YSe6
1.0
3.644 -6.324 0.000
3.644 6.324 0.000
-2.441 0.000 6.853
Nd Y Se
5 1 6
direct
0.000 0.000 0.000
0.167 0.833 0.500
0.328 0.672 0.000
0.672 0.328 0.000
0.833 0.167 0.500
0.500 0.500 0.500
0.094 0.418 0.256
0.258 0.258 0.748
0.418 0.094 0.256
0.582 0.906 0.744
0.742 0.742 0.252
0.906 0.582 0.744
```

Output
Total magnetization, μB/atom: 0.00
Fermi-level density of states, states/eV/cell: 5.032
ΔE_f (raw), eV/atom: -1.83
Calculated volume, Å³/atom: 26.32
SG: C2/m (12)


3.
## NdY4Se7 (PBE)

Data for NdY4Se7 after structural relaxation.

Cell and atoms, written as POSCAR:
```
NdY4Se7
1.0
6.772 -1.998 0.000
6.772 1.998 0.000
-3.033 0.000 11.915
Nd Y Se
1 4 7
direct
0.000 0.000 0.000
0.114 0.114 0.423
0.226 0.226 0.840
0.413 0.413 0.606
0.814 0.814 0.236
0.071 0.071 0.636
0.156 0.156 0.211
0.365 0.365 0.071
0.455 0.455 0.372
0.616 0.616 0.916
0.773 0.773 0.471
0.852 0.852 0.768
```

Output
Total magnetization, μB/atom: 0.00
Fermi-level density of states, states/eV/cell: 2.003
ΔE_f (raw), eV/atom: -1.86
Calculated volume, Å³/atom: 26.87
SG: Cm (8)


4.
## Nd6YSe8 (PBE)

Data for Nd6YSe8 after structural relaxation.

Cell and atoms, written as POSCAR:
```
Nd6YSe8
1.0
0.000 5.954 5.954
5.954 0.000 5.954
5.954 5.954 0.000
Nd Y Se
6 1 8
direct
0.000 0.000 0.500
0.000 0.500 0.000
0.000 0.500 0.500
0.500 0.000 0.000
0.500 0.000 0.500
0.500 0.500 0.000
0.000 0.000 0.000
0.246 0.246 0.754
0.246 0.754 0.246
0.246 0.754 0.754
0.250 0.250 0.250
0.750 0.750 0.750
0.754 0.246 0.246
0.754 0.246 0.754
0.754 0.754 0.246
```

Output
Total magnetization, μB/atom: 0.00
Fermi-level density of states, states/eV/cell: 7.077
ΔE_f (raw), eV/atom: -1.88
Calculated volume, Å³/atom: 28.15
SG: Fm-3m (225)


- Fermi-level density of states of number 1 (Nd3Y5Se8)?
  10.537 states/eV/cell


- Which of these has the lowest Fermi-level density of states?
  NdY4Se7


- What is the formula in the second record?
  Nd5YSe6